[1]
Compound: NaTl2RuO4
Source: Alexandria via LeMat-Bulk
Functional: PBE
Structure: optimized geometry

a b c (Å): 5.979 6.643 10.448
angles (deg): 82.60 73.37 63.26
Element x y z (fractional)
Tl1 0.938 0.500 0.123
Tl2 0.188 0.000 0.623
Tl3 0.812 0.000 0.377
Tl4 0.562 0.500 0.877
O1 0.191 0.297 0.427
O2 0.238 0.203 0.927
O3 0.559 0.203 0.073
O4 0.915 0.703 0.573
O5 0.368 0.797 0.073
O6 0.382 0.703 0.427
O7 0.512 0.297 0.573
O8 0.835 0.797 0.927
Na1 0.750 0.500 0.500
Na2 0.000 0.000 0.000
Ru1 0.500 0.000 0.000
Ru2 0.250 0.500 0.500

Calculated values
Its total energy is -82.29 eV for the cell shown.


[2]
Compound: NdHfPa2N4
Source: Alexandria via LeMat-Bulk
Functional: PBE
Structure: optimized geometry

a b c (Å): 3.443 6.025 5.986
angles (deg): 109.21 90.00 90.00
Element x y z (fractional)
N1 0.500 0.777 0.762
N2 0.500 0.223 0.238
N3 0.000 0.781 0.255
N4 0.000 0.219 0.745
Pa1 0.500 0.000 0.500
Pa2 0.000 0.500 0.500
Nd1 0.500 0.500 0.000
Hf1 0.000 0.000 0.000

Calculated values
Its total energy is -79.49 eV for the cell shown.


Repeat the first record exactly.
Compound: NaTl2RuO4
Source: Alexandria via LeMat-Bulk
Functional: PBE
Structure: optimized geometry

a b c (Å): 5.979 6.643 10.448
angles (deg): 82.60 73.37 63.26
Element x y z (fractional)
Tl1 0.938 0.500 0.123
Tl2 0.188 0.000 0.623
Tl3 0.812 0.000 0.377
Tl4 0.562 0.500 0.877
O1 0.191 0.297 0.427
O2 0.238 0.203 0.927
O3 0.559 0.203 0.073
O4 0.915 0.703 0.573
O5 0.368 0.797 0.073
O6 0.382 0.703 0.427
O7 0.512 0.297 0.573
O8 0.835 0.797 0.927
Na1 0.750 0.500 0.500
Na2 0.000 0.000 0.000
Ru1 0.500 0.000 0.000
Ru2 0.250 0.500 0.500

Calculated values
Its total energy is -82.29 eV for the cell shown.